No. 1
! BaSc2V2O7 PBE+U relaxed; values from VASP
! SG: No. 44
! E: -8.05 eV per atom
! total magnetization: 3.94 μB per cell
&SYSTEM
  ibrav = 0, nat = 12, ntyp = 4
/
ATOMIC_SPECIES
Ba 137.33 Ba.upf
Sc 44.96 Sc.upf
V 50.94 V.upf
O 16.00 O.upf
ATOMIC_POSITIONS crystal
Ba 0.0000 0.0000 0.0000
Sc 0.2344 0.4905 0.7439
Sc 0.7466 0.4905 0.2561
V 0.3776 0.9910 0.3865
V 0.6045 0.9910 0.6135
O 0.1173 0.4936 0.6237
O 0.2523 0.9912 0.2611
O 0.3617 0.4905 0.8712
O 0.5144 0.0144 0.5000
O 0.6193 0.4905 0.1288
O 0.7300 0.9912 0.7389
O 0.8698 0.4936 0.3763
CELL_PARAMETERS angstrom
-2.0930 8.4221 2.1606
2.0930 -8.4221 2.1606
2.0930 8.4221 -2.1606

=====

No. 2
! Ba3ScV2O9 PBE+U relaxed; values from VASP
! SG: No. 164
! E: -7.40 eV per atom
! total magnetization: 1.00 μB per cell
&SYSTEM
  ibrav = 0, nat = 15, ntyp = 4
/
ATOMIC_SPECIES
Ba 137.33 Ba.upf
Sc 44.96 Sc.upf
V 50.94 V.upf
O 16.00 O.upf
ATOMIC_POSITIONS crystal
Ba 0.0000 0.0000 0.0000
Ba 0.3333 0.6667 0.6720
Ba 0.6667 0.3333 0.3280
Sc 0.0000 0.0000 0.5000
V 0.3333 0.6667 0.1681
V 0.6667 0.3333 0.8319
O 0.0000 0.5000 0.0000
O 0.1744 0.3488 0.3219
O 0.1744 0.8256 0.3219
O 0.3488 0.1744 0.6781
O 0.5000 0.0000 0.0000
O 0.5000 0.5000 0.0000
O 0.6512 0.8256 0.3219
O 0.8256 0.1744 0.6781
O 0.8256 0.6512 0.6781
CELL_PARAMETERS angstrom
5.7376 0.0000 0.0000
-2.8688 4.9689 0.0000
0.0000 0.0000 6.9979

=====

> Number 2 is which compound?

Ba3ScV2O9

=====

> Among the records above, which one has the highest E?

Ba3ScV2O9

=====

> The lowest total magnetization belongs to which entry?

Ba3ScV2O9

=====

> What is the formula in the first record?

BaSc2V2O7